No. 1
# Be2NiSO

Crystalline Be2NiSO at its relaxed geometry (PBE+U, Alexandria). Values from VASP.

DFT total energy   -21.34 eV/f.u.
SG   No. 123
V   56.2 Å³ per cell
Total magnetic moment   0.99 Bohr magnetons per cell
Calculated density   3.68 Mg/m³

Cell and atoms, written as Quantum ESPRESSO input:
```
&SYSTEM
  ibrav = 0, nat = 5, ntyp = 4
/
ATOMIC_SPECIES
O 16.00 O.upf
Be 9.01 Be.upf
Ni 58.69 Ni.upf
S 32.06 S.upf
CELL_PARAMETERS angstrom
-1.140 -2.386 1.982
2.206 -3.551 -3.006
2.760 0.184 1.809
ATOMIC_POSITIONS angstrom
O 0.000 0.000 0.000
Be 1.380 0.092 0.904
Be -0.570 -1.193 0.991
Ni 1.103 -1.775 -1.503
S 1.913 -2.877 0.393
```



No. 2
# BeSi2NiO6

Crystalline BeSi2NiO6 at its relaxed geometry (PBE+U, Alexandria). Values from VASP.

DFT total energy   -71.10 eV/f.u.
SG   No. 15
V   208.3 Å³ per cell
Total magnetic moment   3.94 Bohr magnetons per cell
Calculated density   3.51 Mg/m³

Cell and atoms, written as Quantum ESPRESSO input:
```
&SYSTEM
  ibrav = 0, nat = 20, ntyp = 4
/
ATOMIC_SPECIES
Si 28.09 Si.upf
O 16.00 O.upf
Ni 58.69 Ni.upf
Be 9.01 Be.upf
CELL_PARAMETERS angstrom
5.174 0.076 0.079
1.757 6.374 0.019
1.757 -0.217 6.370
ATOMIC_POSITIONS angstrom
Si 4.008 4.867 3.884
Si 4.679 1.365 2.584
Si 6.596 3.738 5.047
Si 2.092 2.494 1.420
O 3.972 6.044 5.064
O 3.599 2.464 2.047
O 6.560 4.874 6.267
O 4.322 0.915 4.102
O 1.735 4.028 1.027
O 6.187 1.992 2.577
O 2.128 1.358 0.200
O 4.365 5.317 2.365
O 2.501 4.240 3.890
O 6.952 2.205 5.441
O 5.088 3.769 4.421
O 4.715 0.188 1.404
Ni 5.637 0.558 5.737
Ni 3.050 5.674 0.731
Be 3.050 1.106 5.133
Be 5.637 5.126 1.335
```



No. 3
# Yb2Be2Si2NiO10

Crystalline Yb2Be2Si2NiO10 at its relaxed geometry (PBE+U, Alexandria). Values from VASP.

DFT total energy   -118.14 eV/f.u.
SG   No. 14
V   359.4 Å³ per cell
Total magnetic moment   5.37 Bohr magnetons per cell
Calculated density   5.90 Mg/m³

Cell and atoms, written as Quantum ESPRESSO input:
```
&SYSTEM
  ibrav = 0, nat = 34, ntyp = 5
/
ATOMIC_SPECIES
O 16.00 O.upf
Yb 173.04 Yb.upf
Si 28.09 Si.upf
Ni 58.69 Ni.upf
Be 9.01 Be.upf
CELL_PARAMETERS angstrom
-3.115 -6.928 -0.224
3.835 -1.653 -2.202
4.135 -2.146 8.869
ATOMIC_POSITIONS angstrom
O 1.981 -8.608 2.319
O 0.855 -7.990 -0.532
O 5.088 -7.370 6.828
O -0.187 -6.979 1.745
O -1.140 -6.096 -0.502
O 2.410 -3.930 0.222
O 0.908 -3.943 2.466
O 1.206 -6.549 3.952
O 3.649 -4.178 2.491
O -0.232 -3.357 -0.386
O 5.995 -4.631 6.945
O 3.947 -6.784 3.977
O 5.042 -3.748 4.697
O 2.445 -6.797 6.220
O 2.527 -4.583 4.896
O 4.000 -2.737 6.974
O 3.495 -9.219 5.917
O 2.874 -2.119 4.124
O 2.328 -6.144 1.547
O 1.360 -1.508 0.526
Yb 4.859 -3.089 0.711
Yb 6.028 -6.161 5.081
Yb -1.173 -4.566 1.362
Yb -0.004 -7.637 5.732
Si 1.318 -2.887 -0.413
Si 3.553 -3.588 4.033
Si 3.537 -7.840 6.856
Si 1.302 -7.139 2.409
Ni 0.510 -4.537 4.323
Ni 0.000 0.000 0.000
Be -0.443 -7.420 0.198
Be 5.298 -3.307 6.245
Be 2.214 -4.496 1.737
Be 2.641 -6.231 4.706
```



No. 4
# Sm2Be2NiO6

Crystalline Sm2Be2NiO6 at its relaxed geometry (PBE+U, Alexandria). Values from VASP.

DFT total energy   -76.86 eV/f.u.
SG   No. 166
V   123.5 Å³ per cell
Total magnetic moment   2.00 Bohr magnetons per cell
Calculated density   6.36 Mg/m³

Cell and atoms, written as Quantum ESPRESSO input:
```
&SYSTEM
  ibrav = 0, nat = 11, ntyp = 4
/
ATOMIC_SPECIES
O 16.00 O.upf
Be 9.01 Be.upf
Sm 150.36 Sm.upf
Ni 58.69 Ni.upf
CELL_PARAMETERS angstrom
-5.062 0.150 1.333
-1.841 -3.261 3.660
-1.229 2.483 5.341
ATOMIC_POSITIONS angstrom
O -2.924 -1.717 4.491
O -4.543 -0.003 3.322
O -3.589 -0.626 7.013
O -5.468 -1.642 5.161
O -2.664 1.014 5.173
O -5.208 1.089 5.843
Be -3.818 0.501 6.019
Be -4.314 -1.129 4.316
Sm -6.220 -0.867 7.337
Sm -1.912 0.239 2.997
Ni 0.000 0.000 0.000
```



No. 5
# SrBeNiO3

Crystalline SrBeNiO3 at its relaxed geometry (PBE+U, Alexandria). Values from VASP.

DFT total energy   -34.91 eV/f.u.
SG   No. 12
V   138.8 Å³ per cell
Total magnetic moment   3.98 Bohr magnetons per cell
Calculated density   4.86 Mg/m³

Cell and atoms, written as Quantum ESPRESSO input:
```
&SYSTEM
  ibrav = 0, nat = 12, ntyp = 4
/
ATOMIC_SPECIES
Ni 58.69 Ni.upf
O 16.00 O.upf
Sr 87.62 Sr.upf
Be 9.01 Be.upf
CELL_PARAMETERS angstrom
-2.202 1.369 -1.822
3.605 -2.283 -3.316
-6.443 -5.946 3.321
ATOMIC_POSITIONS angstrom
Ni -3.621 -2.682 -0.393
Ni -1.419 -4.178 -1.423
O 0.012 -3.288 -2.485
O -3.473 -4.240 -1.743
O -1.568 -2.620 -0.073
O -5.052 -3.572 0.668
O -5.457 -5.764 2.265
O 0.416 -1.096 -4.082
Sr -3.952 -6.205 0.116
Sr -1.088 -0.655 -1.932
Be -4.640 -4.477 2.246
Be -0.400 -2.383 -4.062
```



No. 6
# SrBeNi2O

Crystalline SrBeNi2O at its relaxed geometry (PBE+U, Alexandria). Values from VASP.

DFT total energy   -14.53 eV/f.u.
SG   No. 123
V   94.9 Å³ per cell
Total magnetic moment   2.11 Bohr magnetons per cell
Calculated density   4.02 Mg/m³

Cell and atoms, written as Quantum ESPRESSO input:
```
&SYSTEM
  ibrav = 0, nat = 5, ntyp = 4
/
ATOMIC_SPECIES
Ni 58.69 Ni.upf
O 16.00 O.upf
Sr 87.62 Sr.upf
Be 9.01 Be.upf
CELL_PARAMETERS angstrom
-0.565 -3.540 1.458
4.056 1.289 4.699
-2.920 1.351 2.150
ATOMIC_POSITIONS angstrom
Ni -0.282 -1.770 0.729
Ni -1.460 0.676 1.075
O 0.286 -0.450 4.154
Sr 2.028 0.644 2.350
Be 0.000 0.000 0.000
```



No. 7
# Sr2BeNiO4

Crystalline Sr2BeNiO4 at its relaxed geometry (PBE+U, Alexandria). Values from VASP.

DFT total energy   -45.39 eV/f.u.
SG   No. 70
V   221.4 Å³ per cell
Total magnetic moment   3.98 Bohr magnetons per cell
Calculated density   4.60 Mg/m³

Cell and atoms, written as Quantum ESPRESSO input:
```
&SYSTEM
  ibrav = 0, nat = 16, ntyp = 4
/
ATOMIC_SPECIES
Sr 87.62 Sr.upf
Be 9.01 Be.upf
O 16.00 O.upf
Ni 58.69 Ni.upf
CELL_PARAMETERS angstrom
4.527 0.000 0.000
2.264 5.235 0.000
2.264 0.000 9.344
ATOMIC_POSITIONS angstrom
Sr 2.264 0.000 5.990
Sr 5.659 2.617 1.318
Sr 5.659 2.617 8.026
Sr 4.527 0.000 3.354
Be 2.264 0.000 0.000
Be 3.395 2.617 4.672
O 7.753 4.169 8.455
O 6.961 3.683 5.561
O 3.565 4.169 0.889
O 3.225 1.065 0.889
O 4.357 1.552 5.561
O 3.565 1.065 8.455
O 4.357 3.683 3.783
O 2.433 1.552 3.783
Ni 5.659 2.617 4.672
Ni 0.000 0.000 0.000
```



No. 8
# Sr2Be2NiO6

Crystalline Sr2Be2NiO6 at its relaxed geometry (PBE+U, Alexandria). Values from VASP.

DFT total energy   -65.66 eV/f.u.
SG   No. 166
V   122.6 Å³ per cell
Total magnetic moment   0.01 Bohr magnetons per cell
Calculated density   4.71 Mg/m³

Cell and atoms, written as Quantum ESPRESSO input:
```
&SYSTEM
  ibrav = 0, nat = 11, ntyp = 4
/
ATOMIC_SPECIES
Be 9.01 Be.upf
Ni 58.69 Ni.upf
O 16.00 O.upf
Sr 87.62 Sr.upf
CELL_PARAMETERS angstrom
-3.748 2.565 2.675
-1.377 -1.624 4.821
1.831 3.360 4.536
ATOMIC_POSITIONS angstrom
Be -0.653 3.006 6.588
Be -2.641 1.295 5.444
Ni 0.000 0.000 0.000
O -1.724 4.111 6.654
O -0.524 1.992 7.740
O 0.172 2.813 5.301
O -1.570 0.189 5.377
O -3.466 1.487 6.730
O -2.769 2.309 4.291
Sr -0.499 1.354 3.195
Sr -2.795 2.946 8.837
```



No. 9
# Be2TcNiO

Crystalline Be2TcNiO at its relaxed geometry (PBE+U, Alexandria). Values from VASP.

DFT total energy   -25.18 eV/f.u.
SG   No. 123
V   49.8 Å³ per cell
Total magnetic moment   0.51 Bohr magnetons per cell
Calculated density   6.36 Mg/m³

Cell and atoms, written as Quantum ESPRESSO input:
```
&SYSTEM
  ibrav = 0, nat = 5, ntyp = 4
/
ATOMIC_SPECIES
Be 9.01 Be.upf
Tc 98.00 Tc.upf
O 16.00 O.upf
Ni 58.69 Ni.upf
CELL_PARAMETERS angstrom
3.510 0.000 0.000
0.000 4.042 0.000
0.000 0.000 3.510
ATOMIC_POSITIONS angstrom
Be 0.000 0.000 1.755
Be 1.755 0.000 0.000
Tc 0.000 2.021 0.000
O 0.000 0.000 0.000
Ni 1.755 2.021 1.755
```



No. 10
# BeNiTeO2

Crystalline BeNiTeO2 at its relaxed geometry (PBE+U, Alexandria). Values from VASP.

DFT total energy   -18.07 eV/f.u.
SG   No. 123
V   72.1 Å³ per cell
Total magnetic moment   1.43 Bohr magnetons per cell
Calculated density   5.24 Mg/m³

Cell and atoms, written as Quantum ESPRESSO input:
```
&SYSTEM
  ibrav = 0, nat = 5, ntyp = 4
/
ATOMIC_SPECIES
Ni 58.69 Ni.upf
O 16.00 O.upf
Te 127.60 Te.upf
Be 9.01 Be.upf
CELL_PARAMETERS angstrom
3.697 0.000 0.000
0.000 5.272 0.000
0.000 0.000 3.697
ATOMIC_POSITIONS angstrom
Ni 0.000 0.000 0.000
O 1.848 0.000 0.000
O 0.000 0.000 1.848
Te 0.000 2.636 0.000
Be 1.848 2.636 1.848
```



No. 11
# TiBeNi2O

Crystalline TiBeNi2O at its relaxed geometry (PBE+U, Alexandria). Values from VASP.

DFT total energy   -17.39 eV/f.u.
SG   No. 123
V   60.7 Å³ per cell
Total magnetic moment   0.00 Bohr magnetons per cell
Calculated density   5.21 Mg/m³

Cell and atoms, written as Quantum ESPRESSO input:
```
&SYSTEM
  ibrav = 0, nat = 5, ntyp = 4
/
ATOMIC_SPECIES
Ni 58.69 Ni.upf
Be 9.01 Be.upf
O 16.00 O.upf
Ti 47.87 Ti.upf
CELL_PARAMETERS angstrom
-1.931 -0.729 2.942
-3.112 -2.347 -2.624
1.876 -3.026 0.482
ATOMIC_POSITIONS angstrom
Ni -0.965 -0.364 1.471
Ni 0.938 -1.513 0.241
Be 0.000 0.000 0.000
O -1.583 -3.051 0.400
Ti -1.556 -1.173 -1.312
```



No. 12
# UBeNi2O6

Crystalline UBeNi2O6 at its relaxed geometry (PBE+U, Alexandria). Values from VASP.

DFT total energy   -65.55 eV/f.u.
SG   No. 99
V   124.4 Å³ per cell
Total magnetic moment   4.03 Bohr magnetons per cell
Calculated density   6.15 Mg/m³

Cell and atoms, written as Quantum ESPRESSO input:
```
&SYSTEM
  ibrav = 0, nat = 10, ntyp = 4
/
ATOMIC_SPECIES
O 16.00 O.upf
U 238.03 U.upf
Ni 58.69 Ni.upf
Be 9.01 Be.upf
CELL_PARAMETERS angstrom
-3.077 -1.647 -2.638
2.619 -4.642 -0.158
-2.739 -1.690 4.251
ATOMIC_POSITIONS angstrom
O -0.570 -3.439 1.609
O -0.727 -0.389 -0.624
O -0.884 -5.158 -1.059
O -3.741 -3.584 1.291
O -2.280 -2.683 -0.975
O -2.345 -6.059 1.207
U -2.033 -4.222 0.355
Ni -1.598 -3.877 -2.571
Ni -4.277 -2.401 -0.367
Be -1.803 -0.965 -1.546
```



No. 13
# BeV2NiO6

Crystalline BeV2NiO6 at its relaxed geometry (PBE+U, Alexandria). Values from VASP.

DFT total energy   -69.51 eV/f.u.
SG   No. 15
V   224.5 Å³ per cell
Total magnetic moment   8.00 Bohr magnetons per cell
Calculated density   3.93 Mg/m³

Cell and atoms, written as Quantum ESPRESSO input:
```
&SYSTEM
  ibrav = 0, nat = 20, ntyp = 4
/
ATOMIC_SPECIES
V 50.94 V.upf
O 16.00 O.upf
Ni 58.69 Ni.upf
Be 9.01 Be.upf
CELL_PARAMETERS angstrom
-3.945 -1.159 -3.350
2.914 -0.569 -6.171
-1.387 -6.632 0.993
ATOMIC_POSITIONS angstrom
V -2.498 -3.940 -3.380
V 0.081 -4.421 -5.147
V 0.315 -2.175 -3.105
V -2.733 -6.186 -5.422
O -0.775 -0.797 -2.305
O -1.642 -7.563 -6.222
O -3.612 -4.329 -4.841
O -1.066 -2.942 -4.121
O 1.004 -6.034 -5.669
O -2.682 -5.069 -2.058
O -3.930 -7.003 -4.444
O 1.195 -4.032 -3.686
O -1.351 -5.419 -4.406
O 0.264 -3.292 -6.469
O 1.512 -1.358 -4.083
O -3.421 -2.327 -2.858
Ni 1.573 -1.360 -6.416
Ni -3.990 -7.000 -2.111
Be -1.646 -5.897 -1.055
Be -0.771 -2.463 -7.472
```



No. 14
# Be2VNi2O6

Crystalline Be2VNi2O6 at its relaxed geometry (PBE+U, Alexandria). Values from VASP.

DFT total energy   -67.88 eV/f.u.
SG   No. 147
V   96.5 Å³ per cell
Total magnetic moment   5.00 Bohr magnetons per cell
Calculated density   4.86 Mg/m³

Cell and atoms, written as Quantum ESPRESSO input:
```
&SYSTEM
  ibrav = 0, nat = 11, ntyp = 4
/
ATOMIC_SPECIES
Ni 58.69 Ni.upf
O 16.00 O.upf
V 50.94 V.upf
Be 9.01 Be.upf
CELL_PARAMETERS angstrom
-2.259 -3.851 -1.759
0.239 0.683 4.744
-4.141 2.498 -0.151
ATOMIC_POSITIONS angstrom
Ni -2.557 0.356 2.505
Ni -3.604 -1.026 0.329
O -3.042 -3.021 -0.157
O -3.925 0.892 0.964
O -2.236 -1.562 1.870
O -4.467 0.141 3.419
O -3.118 2.351 2.991
O -1.693 -0.811 -0.585
V 0.000 0.000 0.000
Be -1.613 -2.227 0.402
Be -4.548 1.557 2.432
```